First-principles (PBE) data for crystalline Ga6Ni12Rh at its relaxed geometry, as listed in Alexandria.

Computed properties:
**Size of the total moment**: 0.000 μB per atom
**Total energy**: -5.011 eV per atom
**Density**: 8.083 g/cm3
**Energy of formation**: -0.02 eV/atom

Cell lengths 6.6714, 6.6714, 6.6714 Å; angles 106.31, 106.31, 106.31 degrees
With the nearest neighbours (Å) after each atom.
Positions (direct):
Ga  0.2906  0.2906  0.6997  8 Ni 2.36-2.57
Ga  0.2906  0.6997  0.2906  8 Ni 2.36-2.57
Ga  0.3003  0.7094  0.7094  8 Ni 2.36-2.57
Ga  0.6997  0.2906  0.2906  8 Ni 2.36-2.57
Ga  0.7094  0.3003  0.7094  8 Ni 2.36-2.57
Ga  0.7094  0.7094  0.3003  8 Ni 2.36-2.57
Ni  0.1135  0.3516  0.3516  4 Ni 2.48-2.54, 4 Ga 2.49-2.57, 1 Rh 2.55
Ni  0.1166  0.5000  0.8834  4 Ga 2.36-2.41, 3 Ni 2.48-2.49
Ni  0.1166  0.8834  0.5000  4 Ga 2.36-2.41, 3 Ni 2.48-2.49
Ni  0.3516  0.1135  0.3516  4 Ni 2.48-2.54, 4 Ga 2.49-2.57, 1 Rh 2.55
Ni  0.3516  0.3516  0.1135  4 Ni 2.48-2.54, 4 Ga 2.49-2.57, 1 Rh 2.55
Ni  0.5000  0.1166  0.8834  4 Ga 2.36-2.41, 3 Ni 2.48-2.49
Ni  0.5000  0.8834  0.1166  4 Ga 2.36-2.41, 3 Ni 2.48-2.49
Ni  0.6484  0.6484  0.8865  4 Ni 2.48-2.54, 4 Ga 2.49-2.57, 1 Rh 2.55
Ni  0.6484  0.8865  0.6484  4 Ni 2.48-2.54, 4 Ga 2.49-2.57, 1 Rh 2.55
Ni  0.8834  0.1166  0.5000  4 Ga 2.36-2.41, 3 Ni 2.48-2.49
Ni  0.8834  0.5000  0.1166  4 Ga 2.36-2.41, 3 Ni 2.48-2.49
Ni  0.8865  0.6484  0.6484  4 Ni 2.48-2.54, 4 Ga 2.49-2.57, 1 Rh 2.55
Rh  0.0000  0.0000  0.0000  6 Ni 2.55